1) Here is an optimized crystal structure of PrHo2Tc from Alexandria. Energies are from GGA-PBE.

a = 3.444 Å, b = 3.444 Å, c = 11.195 Å
α = 81.15°, β = 81.15°, γ = 60.00°
Fractional positions:
Ho1 0.894 0.894 0.319
Ho2 0.106 0.106 0.681
Pr1 0.000 0.000 0.000
Tc1 0.500 0.500 0.500

- spin magnetization (μB per formula unit) = 0.00
- space group = R-3m

2) Here is an optimized crystal structure of PrHo2Tc from Alexandria. Energies are from GGA-PBE.

a = 3.452 Å, b = 3.452 Å, c = 9.171 Å
α = 90.00°, β = 90.00°, γ = 90.00°
Fractional positions:
Ho1 0.000 0.000 0.179
Ho2 0.000 0.000 0.821
Pr1 0.500 0.500 0.500
Tc1 0.500 0.500 0.000

- spin magnetization (μB per formula unit) = 0.00
- space group = P4/mmm

Q: What are the energies relative to the best structure? A: 1) 238; 2) 0, in meV/atom.